# 1
Crystalline MnMoS2Cl at its relaxed geometry. Source: Alexandria, functional PBE-GGA.

Unit cell a=4.6729 b=4.6729 c=4.9438 alpha=90.00 beta=90.00 gamma=90.00
Fractional coordinates of all 5 atoms:
Mo1 0.0000 0.0000 0.0000
Mn1 0.5000 0.5000 0.5000
S1 0.0000 0.5000 0.0000
S2 0.5000 0.0000 0.0000
Cl1 0.0000 0.0000 0.5000

Values from the calculation:
Energy relative to the lowest polymorph listed for this composition = 0 meV/atom
ΔE_f (raw) = 142 meV per atom
Symmetry = No. 123
Volume = 21.59 Å³/atom
N(E_F) = 0.688 states/eV per atom

# 2
Crystalline MnMoS2Cl at its relaxed geometry. Source: Alexandria, functional PBE-GGA.

Unit cell a=4.7220 b=4.7220 c=4.5277 alpha=90.00 beta=90.00 gamma=90.00
Fractional coordinates of all 5 atoms:
Mo1 0.5000 0.5000 0.5000
Mn1 0.0000 0.0000 0.0000
S1 0.0000 0.5000 0.0000
S2 0.5000 0.0000 0.0000
Cl1 0.0000 0.0000 0.5000

Values from the calculation:
Energy relative to the lowest polymorph listed for this composition = 266 meV/atom
ΔE_f (raw) = 408 meV per atom
Symmetry = No. 123
Volume = 20.19 Å³/atom
N(E_F) = 0.359 states/eV per atom

# 3
Crystalline Mn2NCl at its relaxed geometry. Source: Alexandria, functional PBE-GGA.

Unit cell a=3.8100 b=3.8100 c=3.8100 alpha=60.00 beta=60.00 gamma=60.00
Fractional coordinates of all 4 atoms:
N1 0.0000 0.0000 0.0000
Mn1 0.2500 0.2500 0.2500
Mn2 0.7500 0.7500 0.7500
Cl1 0.5000 0.5000 0.5000

Values from the calculation:
Energy relative to the lowest polymorph listed for this composition = 1060 meV/atom
ΔE_f (raw) = 902 meV per atom
Symmetry = No. 225
Volume = 9.78 Å³/atom
N(E_F) = 1.188 states/eV per atom

# 4
Crystalline MnNCl3 at its relaxed geometry. Source: Alexandria, functional PBE-GGA.

Unit cell a=4.4477 b=4.4477 c=4.4477 alpha=90.00 beta=90.00 gamma=90.00
Fractional coordinates of all 5 atoms:
N1 0.0000 0.0000 0.0000
Mn1 0.5000 0.5000 0.5000
Cl1 0.0000 0.5000 0.0000
Cl2 0.0000 0.0000 0.5000
Cl3 0.5000 0.0000 0.0000

Values from the calculation:
Energy relative to the lowest polymorph listed for this composition = 637 meV/atom
ΔE_f (raw) = 814 meV per atom
Symmetry = No. 221
Volume = 17.60 Å³/atom
N(E_F) = 0.430 states/eV per atom

# 5
Crystalline MnN2Cl at its relaxed geometry. Source: Alexandria, functional PBE-GGA.

Unit cell a=5.5737 b=5.5737 c=5.5770 alpha=60.02 beta=60.02 gamma=90.00
Fractional coordinates of all 8 atoms:
N1 0.8744 0.1250 0.2500
N2 0.8756 0.6250 0.2500
N3 0.3750 0.1256 0.7500
N4 0.8750 0.1244 0.7500
Mn1 0.0000 0.0000 0.0000
Mn2 0.7500 0.2500 0.5000
Cl1 0.5000 0.5000 0.0000
Cl2 0.2500 0.7500 0.5000

Values from the calculation:
Energy relative to the lowest polymorph listed for this composition = 1 meV/atom
ΔE_f (raw) = 497 meV per atom
Symmetry = No. 227
Volume = 15.32 Å³/atom
N(E_F) = 0.994 states/eV per atom

# 6
Crystalline MnN2Cl at its relaxed geometry. Source: Alexandria, functional PBE-GGA.

Unit cell a=6.0468 b=6.0468 c=6.0468 alpha=28.95 beta=28.95 gamma=28.95
Fractional coordinates of all 4 atoms:
N1 0.8889 0.8889 0.8889
N2 0.1111 0.1111 0.1111
Mn1 0.5000 0.5000 0.5000
Cl1 0.0000 0.0000 0.0000

Values from the calculation:
Energy relative to the lowest polymorph listed for this composition = 0 meV/atom
ΔE_f (raw) = 496 meV per atom
Symmetry = No. 166
Volume = 11.45 Å³/atom
N(E_F) = 0.486 states/eV per atom

# 7
Crystalline MnN2Cl at its relaxed geometry. Source: Alexandria, functional PBE-GGA.

Unit cell a=6.6786 b=6.6786 c=6.6786 alpha=25.57 beta=25.57 gamma=25.57
Fractional coordinates of all 4 atoms:
N1 0.9125 0.9125 0.9125
N2 0.0875 0.0875 0.0875
Mn1 0.0000 0.0000 0.0000
Cl1 0.5000 0.5000 0.5000

Values from the calculation:
Energy relative to the lowest polymorph listed for this composition = 1330 meV/atom
ΔE_f (raw) = 1826 meV per atom
Symmetry = No. 166
Volume = 12.21 Å³/atom
N(E_F) = 0.823 states/eV per atom

# 8
Crystalline Mn2N2Cl3 at its relaxed geometry. Source: Alexandria, functional PBE-GGA.

Unit cell a=3.7261 b=6.4045 c=7.5755 alpha=90.87 beta=60.57 gamma=73.04
Fractional coordinates of all 7 atoms:
Mn1 0.0137 0.2537 0.8595
Mn2 0.9863 0.7463 0.1405
N1 0.6081 0.9499 0.4171
N2 0.3919 0.0501 0.5829
Cl1 0.5000 0.0000 0.0000
Cl2 0.5310 0.4976 0.2207
Cl3 0.4690 0.5024 0.7793

Values from the calculation:
ΔE_f (raw) = -571 meV per atom
Symmetry = No. 12
Volume = 21.12 Å³/atom
N(E_F) = 0.589 states/eV per atom

# 9
Crystalline MnNCl3 at its relaxed geometry. Source: Alexandria, functional PBE-GGA.

Unit cell a=7.7477 b=6.8818 c=8.4737 alpha=90.00 beta=90.00 gamma=90.00
Fractional coordinates of all 20 atoms:
Mn1 0.5000 0.0000 0.0000
Mn2 0.0000 0.5000 0.5000
Mn3 0.5000 0.0000 0.5000
Mn4 0.0000 0.5000 0.0000
N1 0.3355 0.3011 0.7500
N2 0.8355 0.1989 0.7500
N3 0.6645 0.6989 0.2500
N4 0.1645 0.8011 0.2500
Cl1 0.0037 0.6633 0.7500
Cl2 0.5037 0.8367 0.7500
Cl3 0.9963 0.3367 0.2500
Cl4 0.4963 0.1633 0.2500
Cl5 0.2759 0.7150 0.0810
Cl6 0.7759 0.7850 0.4190
Cl7 0.7241 0.2850 0.5810
Cl8 0.2241 0.2150 0.9190
Cl9 0.7241 0.2850 0.9190
Cl10 0.2241 0.2150 0.5810
Cl11 0.2759 0.7150 0.4190
Cl12 0.7759 0.7850 0.0810

Values from the calculation:
Energy relative to the lowest polymorph listed for this composition = 0 meV/atom
ΔE_f (raw) = 177 meV per atom
Symmetry = No. 62
Volume = 22.59 Å³/atom

# 10
Crystalline MnN2Cl at its relaxed geometry. Source: Alexandria, functional PBE-GGA.

Unit cell a=3.7611 b=3.7611 c=3.7611 alpha=60.00 beta=60.00 gamma=60.00
Fractional coordinates of all 4 atoms:
N1 0.2500 0.2500 0.2500
N2 0.7500 0.7500 0.7500
Mn1 0.5000 0.5000 0.5000
Cl1 0.0000 0.0000 0.0000

Values from the calculation:
Energy relative to the lowest polymorph listed for this composition = 1682 meV/atom
ΔE_f (raw) = 2178 meV per atom
Symmetry = No. 225
Volume = 9.41 Å³/atom
N(E_F) = 1.186 states/eV per atom

# 11
Crystalline Mn2NCl at its relaxed geometry. Source: Alexandria, functional PBE-GGA.

Unit cell a=5.1272 b=5.1272 c=6.1296 alpha=65.28 beta=65.28 gamma=90.00
Fractional coordinates of all 8 atoms:
N1 0.5000 0.5000 0.0000
N2 0.2500 0.7500 0.5000
Mn1 0.5218 0.1250 0.2500
Mn2 0.2282 0.6250 0.2500
Mn3 0.3750 0.4782 0.7500
Mn4 0.8750 0.7718 0.7500
Cl1 0.0000 0.0000 0.0000
Cl2 0.7500 0.2500 0.5000

Values from the calculation:
Energy relative to the lowest polymorph listed for this composition = 0 meV/atom
ΔE_f (raw) = -158 meV per atom
Symmetry = No. 122
Volume = 16.24 Å³/atom
N(E_F) = 0.863 states/eV per atom

# 12
Crystalline MnNCl3 at its relaxed geometry. Source: Alexandria, functional PBE-GGA.

Unit cell a=6.6718 b=6.6718 c=9.5365 alpha=90.00 beta=90.00 gamma=90.69
Fractional coordinates of all 20 atoms:
Mn1 0.5000 0.0000 0.5000
Mn2 0.0000 0.5000 0.5000
Mn3 0.5000 0.0000 0.0000
Mn4 0.0000 0.5000 0.0000
N1 0.9911 0.0089 0.2500
N2 0.0089 0.9911 0.7500
N3 0.4805 0.5195 0.2500
N4 0.5195 0.4805 0.7500
Cl1 0.5384 0.0346 0.2500
Cl2 0.0346 0.5384 0.7500
Cl3 0.4616 0.9654 0.7500
Cl4 0.9654 0.4616 0.2500
Cl5 0.7109 0.7109 0.5000
Cl6 0.7109 0.7109 0.0000
Cl7 0.2891 0.2891 0.5000
Cl8 0.2891 0.2891 0.0000
Cl9 0.7895 0.2105 0.5355
Cl10 0.2105 0.7895 0.4645
Cl11 0.7895 0.2105 0.9645
Cl12 0.2105 0.7895 0.0355

Values from the calculation:
Energy relative to the lowest polymorph listed for this composition = 228 meV/atom
ΔE_f (raw) = 406 meV per atom
Symmetry = No. 63
Volume = 21.22 Å³/atom
N(E_F) = 0.571 states/eV per atom

| no. | size of the total moment (μB/atom) |
| --- | --- |
| 1 | 1.1449 |
| 2 | 1.5745 |
| 3 | 0.0005 |
| 4 | 0.9923 |
| 5 | 0.1807 |
| 6 | 0.5609 |
| 7 | 0.0006 |
| 8 | 1.2857 |
| 9 | 0.9979 |
| 10 | 0.0000 |
| 11 | 1.9399 |
| 12 | 1.3999 |